RbYTe2O6 after structural relaxation. Source: the Alexandria database, functional PBE.

Computed properties:
calculated total energy	-249.4	eV for the cell shown
formation energy (no corrections)	-182.3	kJ per mole of atoms

a = 6.1024 Å, b = 9.1625 Å, c = 13.9310 Å
α = 90.00°, β = 90.00°, γ = 90.00°
With the nearest neighbours (Å) after each atom.
Element x y z (fractional)
Te 0.7500 0.7101 0.5729  3 O 1.88-1.89
Te 0.7500 0.0097 0.8040  3 O 1.89-1.90
Te 0.2500 0.5097 0.6960  3 O 1.89-1.90
Te 0.7500 0.4903 0.3040  3 O 1.89-1.90
Te 0.2500 0.2101 0.9271  3 O 1.88-1.89
Te 0.2500 0.2899 0.4271  3 O 1.88-1.89
Te 0.2500 0.9903 0.1960  3 O 1.89-1.90
Te 0.7500 0.7899 0.0729  3 O 1.88-1.89
O 0.0109 0.1204 0.2049  1 Te 1.89
O 0.5134 0.7110 0.0026  1 Te 1.89
O 0.2500 0.9246 0.3251  1 Te 1.90
O 0.9891 0.8796 0.7951  1 Te 1.89
O 0.7500 0.9817 0.0248  1 Te 1.88
O 0.9891 0.6204 0.2951  1 Te 1.89
O 0.7500 0.4246 0.1749  1 Te 1.90
O 0.7500 0.0754 0.6749  1 Te 1.90
O 0.5134 0.7890 0.5026  1 Te 1.89
O 0.2500 0.4817 0.4752  1 Te 1.88
O 0.4891 0.1204 0.2049  1 Te 1.89
O 0.5109 0.8796 0.7951  1 Te 1.89
O 0.0109 0.3796 0.7049  1 Te 1.89
O 0.2500 0.5754 0.8251  1 Te 1.90
O 0.7500 0.5183 0.5248  1 Te 1.88
O 0.9866 0.7890 0.5026  1 Te 1.89
O 0.4891 0.3796 0.7049  1 Te 1.89
O 0.4866 0.2110 0.4974  1 Te 1.89
O 0.0134 0.2890 0.9974  1 Te 1.89
O 0.2500 0.0183 0.9752  1 Te 1.88
O 0.5109 0.6204 0.2951  1 Te 1.89
O 0.4866 0.2890 0.9974  1 Te 1.89
O 0.9866 0.7110 0.0026  1 Te 1.89
O 0.0134 0.2110 0.4974  1 Te 1.89
Rb 0.2500 0.9967 0.6241  8 O 3.01-3.21
Rb 0.7500 0.4967 0.8759  8 O 3.01-3.21
Rb 0.7500 0.0033 0.3759  8 O 3.01-3.21
Rb 0.2500 0.5033 0.1241  8 O 3.01-3.21
Y 0.7500 0.2976 0.5995  6 O 2.27-2.29
Y 0.2500 0.7024 0.4005  6 O 2.27-2.29
Y 0.7500 0.2024 0.0995  6 O 2.27-2.29
Y 0.2500 0.7976 0.9005  6 O 2.27-2.29

=====

Ba2TlCdPd6 after structural relaxation. Source: the Alexandria database, functional PBE.

Computed properties:
calculated total energy	-38.4	eV for the cell shown
formation enthalpy at 0 K	-13	meV/atom

a = 7.2703 Å, b = 7.2703 Å, c = 7.2704 Å
α = 60.00°, β = 60.00°, γ = 90.00°
With the nearest neighbours (Å) after each atom.
Element x y z (fractional)
Tl 0.5000 0.5000 0.0000  6 Pd 2.59
Pd 0.2484 0.2484 0.0000  1 Cd 2.55, 1 Tl 2.59
Pd 0.7516 0.7516 0.0000  1 Cd 2.55, 1 Tl 2.59
Pd 0.2484 0.7516 0.0000  1 Cd 2.55, 1 Tl 2.59
Pd 0.7516 0.2484 0.0000  1 Cd 2.55, 1 Tl 2.59
Pd 0.7516 0.7516 0.4969  1 Cd 2.55, 1 Tl 2.59
Pd 0.2484 0.2484 0.5031  1 Cd 2.55, 1 Tl 2.59
Ba 0.2500 0.7500 0.5000  12 Pd 3.64
Ba 0.7500 0.2500 0.5000  12 Pd 3.64
Cd 0.0000 0.0000 0.0000  6 Pd 2.55

=====

Sc3HgO after structural relaxation. Source: the Alexandria database, functional PBE.

Computed properties:
calculated total energy	-122.5	eV for the cell shown
energy above the most stable polymorph in this dataset	221	meV/atom
formation energy (no corrections)	-122.7	kJ per mole of atoms

a = 18.2049 Å, b = 6.0665 Å, c = 7.7489 Å
α = 90.00°, β = 153.39°, γ = 90.00°
With the nearest neighbours (Å) after each atom.
Element x y z (fractional)
Sc 0.5212 0.7527 0.0165  2 O 2.12-2.34
Sc 0.3537 0.4274 0.3433  1 O 2.09
Sc 0.8537 0.0726 0.8433  1 O 2.09
Sc 0.6463 0.5726 0.6567  1 O 2.09
Sc 0.4788 0.2473 0.9835  2 O 2.12-2.34
Sc 0.2482 0.6266 0.7131  2 O 2.16-2.27
Sc 0.7482 0.8734 0.2131  2 O 2.16-2.27
Sc 0.1463 0.9274 0.1567  1 O 2.09
Sc 0.0212 0.7473 0.5165  2 O 2.12-2.34
Sc 0.2518 0.1266 0.7869  2 O 2.16-2.27
Sc 0.7518 0.3734 0.2869  2 O 2.16-2.27
Sc 0.9788 0.2527 0.4835  2 O 2.12-2.34
O 0.1724 0.4290 0.7713  5 Sc 2.09-2.34
O 0.3276 0.9290 0.7287  5 Sc 2.09-2.34
O 0.8276 0.5710 0.2287  5 Sc 2.09-2.34
O 0.6724 0.0710 0.2713  5 Sc 2.09-2.34
Hg 0.6264 0.1013 0.6532  6 Sc 2.88-3.16, 1 Hg 2.96
Hg 0.1264 0.3987 0.1532  6 Sc 2.88-3.16, 1 Hg 2.96
Hg 0.3736 0.8987 0.3468  6 Sc 2.88-3.16, 1 Hg 2.96
Hg 0.8736 0.6013 0.8468  6 Sc 2.88-3.16, 1 Hg 2.96

=====

Cu3IrOs after structural relaxation. Source: the Alexandria database, functional PBE.

Computed properties:
calculated total energy	-22.8	eV for the cell shown
energy above the most stable polymorph in this dataset	0	meV/atom
formation enthalpy at 0 K	1919	meV/atom

a = 4.5529 Å, b = 4.5529 Å, c = 4.5529 Å
α = 90.00°, β = 90.00°, γ = 90.00°
With the nearest neighbours (Å) after each atom.
Element x y z (fractional)
Os 0.5000 0.5000 0.5000  12 Cu 3.22
Ir 0.0000 0.0000 0.0000  6 Cu 2.28
Cu 0.0000 0.0000 0.5000  2 Ir 2.28
Cu 0.0000 0.5000 0.0000  2 Ir 2.28
Cu 0.5000 0.0000 0.0000  2 Ir 2.28

=====

NaPr4Y3Te8 after structural relaxation. Source: the Alexandria database, functional PBE.

Computed properties:
calculated total energy	-87.0	eV for the cell shown
formation energy (no corrections)	-132.7	kJ per mole of atoms

a = 8.8910 Å, b = 8.9627 Å, c = 8.8910 Å
α = 119.73°, β = 120.00°, γ = 90.00°
With the nearest neighbours (Å) after each atom.
Element x y z (fractional)
Te 0.2456 0.7365 0.4912  2 Y 3.10, 1 Na 3.10, 3 Pr 3.21-3.22
Te 0.7455 0.7365 0.4910  3 Y 3.10, 3 Pr 3.21
Te 0.2547 0.2635 0.0091  2 Y 3.10, 1 Na 3.10, 3 Pr 3.21-3.22
Te 0.2456 0.7365 0.9909  2 Y 3.10, 1 Na 3.10, 3 Pr 3.21-3.22
Te 0.7544 0.2635 0.5088  2 Y 3.10, 1 Na 3.10, 3 Pr 3.21-3.22
Te 0.7544 0.2635 0.0091  2 Y 3.10, 1 Na 3.10, 3 Pr 3.21-3.22
Te 0.2545 0.2635 0.5090  3 Y 3.10, 3 Pr 3.21
Te 0.7453 0.7365 0.9909  2 Y 3.10, 1 Na 3.10, 3 Pr 3.21-3.22
Pr 0.0000 0.0000 0.0000  6 Te 3.21-3.22
Pr 0.0000 0.0000 0.5000  6 Te 3.21-3.22
Pr 0.5000 0.0000 0.0000  6 Te 3.21
Pr 0.5000 0.0000 0.5000  6 Te 3.21-3.22
Y 0.5000 0.5000 0.0000  6 Te 3.10
Y 0.0000 0.5000 0.5000  6 Te 3.10
Y 0.5000 0.5000 0.5000  6 Te 3.10
Na 0.0000 0.5000 0.0000  6 Te 3.10

=====

KZr2Rh after structural relaxation. Source: the Alexandria database, functional PBE.

Computed properties:
calculated total energy	-25.2	eV for the cell shown
energy above the most stable polymorph in this dataset	81	meV/atom
formation enthalpy at 0 K	97	meV/atom

a = 3.3477 Å, b = 2.9911 Å, c = 11.0783 Å
α = 71.91°, β = 90.00°, γ = 90.00°
With the nearest neighbours (Å) after each atom.
Element x y z (fractional)
Zr 0.0000 0.0593 0.9142  4 Rh 2.83-2.84, 2 Zr 2.99
Zr 0.0000 0.4407 0.5858  4 Rh 2.83-2.84, 2 Zr 2.99
K 0.5000 0.2500 0.2500  4 K 2.99-3.35
Rh 0.5000 0.7500 0.7500  8 Zr 2.83-2.84, 2 Rh 2.99

=====

InCSeN2 after structural relaxation. Source: the Alexandria database, functional PBE.

Computed properties:
calculated total energy	-18.7	eV for the cell shown
energy above the most stable polymorph in this dataset	549	meV/atom
formation energy (no corrections)	259.3	kJ per mole of atoms

a = 4.2308 Å, b = 4.2308 Å, c = 5.8551 Å
α = 90.00°, β = 90.00°, γ = 90.00°
With the nearest neighbours (Å) after each atom.
Element x y z (fractional)
Se 0.0000 0.0000 0.5000  2 In 2.93, 4 C 2.99
In 0.0000 0.0000 0.0000  4 N 2.12
N 0.0000 0.5000 0.0000  2 In 2.12
N 0.5000 0.0000 0.0000  2 In 2.12
C 0.5000 0.5000 0.5000  4 Se 2.99

=====

BaMg2SiIr after structural relaxation. Source: the Alexandria database, functional PBE.

Computed properties:
calculated total energy	-21.3	eV for the cell shown
formation energy (no corrections)	-37.3	kJ per mole of atoms

a = 5.1207 Å, b = 5.1207 Å, c = 4.6587 Å
α = 90.00°, β = 90.00°, γ = 90.00°
With the nearest neighbours (Å) after each atom.
Element x y z (fractional)
Ir 0.0000 0.0000 0.0000  2 Si 2.33, 4 Mg 2.56
Mg 0.0000 0.5000 0.0000  2 Ir 2.56
Mg 0.5000 0.0000 0.0000  2 Ir 2.56
Ba 0.5000 0.5000 0.5000  8 Mg 3.46, 4 Si 3.62
Si 0.0000 0.0000 0.5000  2 Ir 2.33

=====

ZrMn2Si after structural relaxation. Source: the Alexandria database, functional PBE.

Computed properties:
calculated total energy	-33.1	eV for the cell shown
formation energy (no corrections)	-18.3	kJ per mole of atoms

a = 2.9130 Å, b = 2.9130 Å, c = 6.6981 Å
α = 90.00°, β = 90.00°, γ = 90.00°
With the nearest neighbours (Å) after each atom.
Element x y z (fractional)
Mn 0.0000 0.0000 0.0544  4 Mn 2.46, 1 Si 2.62
Mn 0.5000 0.5000 0.2545  4 Si 2.43, 4 Mn 2.46
Zr 0.5000 0.5000 0.7453  4 Si 2.88, 4 Zr 2.91, 4 Mn 2.92
Si 0.0000 0.0000 0.4458  5 Mn 2.43-2.62

=====

K4Nd3DyTe8 after structural relaxation. Source: the Alexandria database, functional PBE.

Computed properties:
calculated total energy	-71.0	eV for the cell shown
formation energy (no corrections)	-136.1	kJ per mole of atoms

a = 9.1785 Å, b = 9.8122 Å, c = 9.1792 Å
α = 117.88°, β = 120.00°, γ = 90.00°
With the nearest neighbours (Å) after each atom.
Element x y z (fractional)
K 0.5000 0.0000 0.0000  6 Te 3.60
K 0.5000 0.0000 0.5000  6 Te 3.54
K 0.0000 0.0000 0.0000  6 Te 3.54
K 0.0000 0.0000 0.5000  6 Te 3.54
Nd 0.5000 0.5000 0.0000  6 Te 3.19-3.20
Nd 0.5000 0.5000 0.5000  6 Te 3.19-3.20
Nd 0.0000 0.5000 0.5000  6 Te 3.19-3.20
Te 0.2340 0.7121 0.9781  1 Dy 3.13, 2 Nd 3.20
Te 0.2340 0.7121 0.4679  1 Dy 3.13, 2 Nd 3.20
Te 0.2559 0.2879 0.0219  1 Dy 3.13, 2 Nd 3.20
Te 0.7660 0.2879 0.5321  1 Dy 3.13, 2 Nd 3.20
Te 0.7660 0.2879 0.0219  1 Dy 3.13, 2 Nd 3.20
Te 0.7385 0.7156 0.4771  3 Nd 3.19, 3 K 3.54
Te 0.7441 0.7121 0.9781  1 Dy 3.13, 2 Nd 3.20
Te 0.2615 0.2844 0.5229  3 Nd 3.19, 3 K 3.54
Dy 0.0000 0.5000 0.0000  6 Te 3.13

=====

KZr2Sb after structural relaxation. Source: the Alexandria database, functional PBE.

Computed properties:
calculated total energy	-20.8	eV for the cell shown
formation energy (no corrections)	35.5	kJ per mole of atoms

a = 5.6434 Å, b = 5.6434 Å, c = 5.6434 Å
α = 131.40°, β = 131.40°, γ = 71.17°
With the nearest neighbours (Å) after each atom.
Element x y z (fractional)
Zr 0.0000 0.0000 0.0000  4 K 3.26, 4 Sb 3.26, 4 Zr 3.28
Zr 0.5000 0.5000 0.0000  4 Sb 3.26, 4 K 3.26, 4 Zr 3.28
Sb 0.7500 0.2500 0.5000  8 Zr 3.26, 4 K 3.28
K 0.2500 0.7500 0.5000  8 Zr 3.26, 4 Sb 3.28

=====

LiCuW3 after structural relaxation. Source: the Alexandria database, functional PBE.

Computed properties:
calculated total energy	-37.2	eV for the cell shown
energy above the most stable polymorph in this dataset	0	meV/atom
formation enthalpy at 0 K	1538	meV/atom

a = 4.1961 Å, b = 4.1961 Å, c = 4.1961 Å
α = 90.00°, β = 90.00°, γ = 90.00°
With the nearest neighbours (Å) after each atom.
Element x y z (fractional)
W 0.0000 0.0000 0.5000  2 Li 2.10
W 0.5000 0.0000 0.0000  2 Li 2.10
W 0.0000 0.5000 0.0000  2 Li 2.10
Li 0.0000 0.0000 0.0000  6 W 2.10
Cu 0.5000 0.5000 0.5000  12 W 2.97

=====

Let's list theoretical density in order: 4.5; 7.5; 6.1; 10.1; 6.2; 5.1; 3.7; 5.5; 6.7; 4.9; 5.8; 14.0 g/cm3.